# GGA-PBE Na3NpSc2Te6, relaxed
data_Na3NpSc2Te6
_space_group_name_H-M_alt 'P 1'
_space_group_IT_number 1
_cell_length_a 7.5075
_cell_length_b 7.5075
_cell_length_c 7.9237
_cell_angle_alpha 99.15
_cell_angle_beta 99.15
_cell_angle_gamma 120.05
loop_
_space_group_symop_operation_xyz
'x,y,z'
loop_
_atom_site_label
_atom_site_fract_x
_atom_site_fract_y
_atom_site_fract_z
_atom_site_occupancy
Na1 0.1610 0.8390 0.5000 1
Na2 0.8390 0.1610 0.5000 1
Na3 0.5000 0.5000 0.5000 1
Np1 0.0000 0.0000 0.0000 1
Sc1 0.3325 0.6675 0.0000 1
Sc2 0.6675 0.3325 0.0000 1
Te1 0.9244 0.5759 0.7748 1
Te2 0.7259 0.7259 0.2243 1
Te3 0.0756 0.4241 0.2252 1
Te4 0.5759 0.9244 0.7748 1
Te5 0.2741 0.2741 0.7757 1
Te6 0.4241 0.0756 0.2252 1
# Calculated density, g cm⁻³: 5.263
# N(E_F), states/eV per cell: 8.23
# Calculated total energy, eV per atom: -5.08
# Raw formation energy, meV/atom: -1049

# GGA-PBE Na2NpSc2Te6, relaxed
data_Na2NpSc2Te6
_space_group_name_H-M_alt 'P 1'
_space_group_IT_number 1
_cell_length_a 7.3766
_cell_length_b 7.3766
_cell_length_c 8.0101
_cell_angle_alpha 98.68
_cell_angle_beta 98.68
_cell_angle_gamma 120.17
loop_
_space_group_symop_operation_xyz
'x,y,z'
loop_
_atom_site_label
_atom_site_fract_x
_atom_site_fract_y
_atom_site_fract_z
_atom_site_occupancy
Na1 0.8374 0.1626 0.0000 1
Na2 0.1626 0.8374 0.0000 1
Np1 0.0000 0.0000 0.5000 1
Sc1 0.3322 0.6678 0.5000 1
Sc2 0.6678 0.3322 0.5000 1
Te1 0.7276 0.7276 0.7222 1
Te2 0.0749 0.4164 0.7236 1
Te3 0.2724 0.2724 0.2778 1
Te4 0.4164 0.0749 0.7236 1
Te5 0.9251 0.5836 0.2764 1
Te6 0.5836 0.9251 0.2764 1
# Calculated density, g cm⁻³: 5.264
# N(E_F), states/eV per cell: 4.21
# Calculated total energy, eV per atom: -5.30
# Raw formation energy, meV/atom: -1015

# GGA-PBE Na3NpSc3Te8, relaxed
data_Na3NpSc3Te8
_space_group_name_H-M_alt 'P 1'
_space_group_IT_number 1
_cell_length_a 8.4953
_cell_length_b 8.4943
_cell_length_c 9.0082
_cell_angle_alpha 118.15
_cell_angle_beta 90.00
_cell_angle_gamma 120.01
loop_
_space_group_symop_operation_xyz
'x,y,z'
loop_
_atom_site_label
_atom_site_fract_x
_atom_site_fract_y
_atom_site_fract_z
_atom_site_occupancy
Na1 0.0000 0.0000 0.0000 1
Na2 0.0000 0.5000 0.0000 1
Na3 0.5000 0.5000 0.0000 1
Np1 0.0000 0.0000 0.5000 1
Sc1 0.5000 0.0000 0.5000 1
Sc2 0.5000 0.5000 0.5000 1
Sc3 0.0000 0.5000 0.5000 1
Te1 0.2598 0.5196 0.2796 1
Te2 0.7402 0.4804 0.7204 1
Te3 0.7519 0.5037 0.2753 1
Te4 0.2481 0.4963 0.7247 1
Te5 0.7519 0.0232 0.2753 1
Te6 0.2481 0.9768 0.7247 1
Te7 0.2713 0.0232 0.2753 1
Te8 0.7287 0.9768 0.7247 1
# Calculated density, g cm⁻³: 5.142
# N(E_F), states/eV per cell: 13.41
# Calculated total energy, eV per atom: -5.12
# Raw formation energy, meV/atom: -1053

# GGA-PBE Na4Np3Se8, relaxed
data_Na4Np3Se8
_space_group_name_H-M_alt 'P 1'
_space_group_IT_number 1
_cell_length_a 8.3473
_cell_length_b 8.3473
_cell_length_c 8.8966
_cell_angle_alpha 62.02
_cell_angle_beta 62.02
_cell_angle_gamma 60.00
loop_
_space_group_symop_operation_xyz
'x,y,z'
loop_
_atom_site_label
_atom_site_fract_x
_atom_site_fract_y
_atom_site_fract_z
_atom_site_occupancy
Na1 0.0000 0.0000 0.0000 1
Na2 0.3599 0.3599 0.9204 1
Na3 0.5000 0.5000 0.5000 1
Na4 0.6401 0.6401 0.0796 1
Np1 0.5000 0.0000 0.5000 1
Np2 0.0000 0.0000 0.5000 1
Np3 0.0000 0.5000 0.5000 1
Se1 0.2341 0.2341 0.2976 1
Se2 0.2171 0.7469 0.2892 1
Se3 0.7469 0.7469 0.2892 1
Se4 0.7469 0.2171 0.2892 1
Se5 0.7659 0.7659 0.7024 1
Se6 0.7829 0.2531 0.7108 1
Se7 0.2531 0.2531 0.7108 1
Se8 0.2531 0.7829 0.7108 1
# Calculated density, g cm⁻³: 5.279
# N(E_F), states/eV per cell: 26.64
# Excess energy over the best structure of this formula in the dataset, meV per atom: 0
# Calculated total energy, eV per atom: -5.91
# Raw formation energy, meV/atom: -1112

# GGA-PBE NaNpSe3, relaxed
data_NaNpSe3
_space_group_name_H-M_alt 'P 1'
_space_group_IT_number 1
_cell_length_a 5.4340
_cell_length_b 7.4581
_cell_length_c 8.4388
_cell_angle_alpha 99.93
_cell_angle_beta 90.00
_cell_angle_gamma 111.36
loop_
_space_group_symop_operation_xyz
'x,y,z'
loop_
_atom_site_label
_atom_site_fract_x
_atom_site_fract_y
_atom_site_fract_z
_atom_site_occupancy
Na1 0.6347 0.2694 0.3796 1
Na2 0.3653 0.7306 0.6204 1
Np1 0.8673 0.7347 0.0850 1
Np2 0.1327 0.2653 0.9150 1
Se1 0.8439 0.6878 0.3843 1
Se2 0.3347 0.6694 0.0581 1
Se3 0.9330 0.8661 0.7987 1
Se4 0.1561 0.3122 0.6157 1
Se5 0.0670 0.1339 0.2013 1
Se6 0.6653 0.3306 0.9419 1
# Calculated density, g cm⁻³: 5.272
# N(E_F), states/eV per cell: 17.85
# Excess energy over the best structure of this formula in the dataset, meV per atom: 0
# Calculated total energy, eV per atom: -5.84
# Raw formation energy, meV/atom: -895

# GGA-PBE NaNp6Se8, relaxed
data_NaNp6Se8
_space_group_name_H-M_alt 'P 1'
_space_group_IT_number 1
_cell_length_a 8.1859
_cell_length_b 8.1859
_cell_length_c 8.1859
_cell_angle_alpha 60.00
_cell_angle_beta 60.00
_cell_angle_gamma 60.00
loop_
_space_group_symop_operation_xyz
'x,y,z'
loop_
_atom_site_label
_atom_site_fract_x
_atom_site_fract_y
_atom_site_fract_z
_atom_site_occupancy
Na1 0.0000 0.0000 0.0000 1
Np1 0.0000 0.5000 0.5000 1
Np2 0.5000 0.0000 0.0000 1
Np3 0.5000 0.5000 0.0000 1
Np4 0.0000 0.0000 0.5000 1
Np5 0.0000 0.5000 0.0000 1
Np6 0.5000 0.0000 0.5000 1
Se1 0.7500 0.7500 0.7500 1
Se2 0.2500 0.2500 0.2500 1
Se3 0.7450 0.2550 0.2550 1
Se4 0.2550 0.7450 0.7450 1
Se5 0.2550 0.2550 0.7450 1
Se6 0.7450 0.7450 0.2550 1
Se7 0.7450 0.2550 0.7450 1
Se8 0.2550 0.7450 0.2550 1
# Calculated density, g cm⁻³: 8.890
# N(E_F), states/eV per cell: 52.69
# Excess energy over the best structure of this formula in the dataset, meV per atom: 0
# Calculated total energy, eV per atom: -8.23
# Raw formation energy, meV/atom: -1110

# GGA-PBE NaNp6Se8, relaxed
data_NaNp6Se8
_space_group_name_H-M_alt 'P 1'
_space_group_IT_number 1
_cell_length_a 3.5844
_cell_length_b 10.4164
_cell_length_c 10.4164
_cell_angle_alpha 120.00
_cell_angle_beta 90.00
_cell_angle_gamma 90.00
loop_
_space_group_symop_operation_xyz
'x,y,z'
loop_
_atom_site_label
_atom_site_fract_x
_atom_site_fract_y
_atom_site_fract_z
_atom_site_occupancy
Na1 0.5000 0.0000 0.0000 1
Np1 0.7498 0.5089 0.5847 1
Np2 0.7498 0.4153 0.9242 1
Np3 0.7498 0.0758 0.4911 1
Np4 0.2502 0.4911 0.4153 1
Np5 0.2502 0.5847 0.0758 1
Np6 0.2502 0.9242 0.5089 1
Se1 0.7531 0.6765 0.9084 1
Se2 0.7531 0.0916 0.7681 1
Se3 0.7531 0.2319 0.3235 1
Se4 0.2469 0.3235 0.0916 1
Se5 0.2469 0.9084 0.2319 1
Se6 0.2469 0.7681 0.6765 1
Se7 0.7499 0.6667 0.3333 1
Se8 0.2501 0.3333 0.6667 1
# Calculated density, g cm⁻³: 10.238
# N(E_F), states/eV per cell: 19.84
# Excess energy over the best structure of this formula in the dataset, meV per atom: 346
# Calculated total energy, eV per atom: -7.89
# Raw formation energy, meV/atom: -764

# GGA-PBE Na5NpSe4, relaxed
data_Na5NpSe4
_space_group_name_H-M_alt 'P 1'
_space_group_IT_number 1
_cell_length_a 4.4533
_cell_length_b 7.9049
_cell_length_c 9.2145
_cell_angle_alpha 115.34
_cell_angle_beta 103.98
_cell_angle_gamma 90.00
loop_
_space_group_symop_operation_xyz
'x,y,z'
loop_
_atom_site_label
_atom_site_fract_x
_atom_site_fract_y
_atom_site_fract_z
_atom_site_occupancy
Na1 0.8242 0.5934 0.6484 1
Na2 0.8239 0.0539 0.6478 1
Na3 0.1761 0.9461 0.3522 1
Na4 0.5000 0.5000 0.0000 1
Na5 0.1758 0.4066 0.3516 1
Np1 0.5000 0.0000 0.0000 1
Se1 0.3079 0.8076 0.6157 1
Se2 0.0002 0.7525 0.0004 1
Se3 0.6921 0.1924 0.3843 1
Se4 0.9998 0.2475 0.9996 1
# Calculated density, g cm⁻³: 3.925
# N(E_F), states/eV per cell: 9.34
# Calculated total energy, eV per atom: -4.40
# Raw formation energy, meV/atom: -1053

# GGA-PBE NaNpSe3, relaxed
data_NaNpSe3
_space_group_name_H-M_alt 'P 1'
_space_group_IT_number 1
_cell_length_a 5.4156
_cell_length_b 5.4156
_cell_length_c 5.4156
_cell_angle_alpha 90.00
_cell_angle_beta 90.00
_cell_angle_gamma 90.00
loop_
_space_group_symop_operation_xyz
'x,y,z'
loop_
_atom_site_label
_atom_site_fract_x
_atom_site_fract_y
_atom_site_fract_z
_atom_site_occupancy
Np1 0.0000 0.0000 0.0000 1
Na1 0.5000 0.5000 0.5000 1
Se1 0.0000 0.5000 0.0000 1
Se2 0.0000 0.0000 0.5000 1
Se3 0.5000 0.0000 0.0000 1
# Calculated density, g cm⁻³: 5.195
# N(E_F), states/eV per cell: 9.18
# Excess energy over the best structure of this formula in the dataset, meV per atom: 23
# Calculated total energy, eV per atom: -5.81
# Raw formation energy, meV/atom: -872

# GGA-PBE Na4Np3Se8, relaxed
data_Na4Np3Se8
_space_group_name_H-M_alt 'P 1'
_space_group_IT_number 1
_cell_length_a 8.2147
_cell_length_b 8.3338
_cell_length_c 8.3338
_cell_angle_alpha 89.45
_cell_angle_beta 120.87
_cell_angle_gamma 120.87
loop_
_space_group_symop_operation_xyz
'x,y,z'
loop_
_atom_site_label
_atom_site_fract_x
_atom_site_fract_y
_atom_site_fract_z
_atom_site_occupancy
Na1 0.5000 0.0000 0.0000 1
Na2 0.0000 0.5000 0.0000 1
Na3 0.0000 0.0000 0.0000 1
Na4 0.0000 0.0000 0.5000 1
Np1 0.5000 0.5000 0.0000 1
Np2 0.5000 0.0000 0.5000 1
Np3 0.5000 0.5000 0.5000 1
Se1 0.5188 0.2688 0.2688 1
Se2 0.0000 0.7479 0.2521 1
Se3 0.0371 0.2687 0.2687 1
Se4 0.5000 0.7443 0.2557 1
Se5 0.5000 0.2557 0.7443 1
Se6 0.9629 0.7313 0.7313 1
Se7 0.0000 0.2521 0.7479 1
Se8 0.4812 0.7312 0.7312 1
# Calculated density, g cm⁻³: 6.037
# N(E_F), states/eV per cell: 29.18
# Excess energy over the best structure of this formula in the dataset, meV per atom: 75
# Calculated total energy, eV per atom: -5.84
# Raw formation energy, meV/atom: -1037

# GGA-PBE Na3Np4Se8, relaxed
data_Na3Np4Se8
_space_group_name_H-M_alt 'P 1'
_space_group_IT_number 1
_cell_length_a 8.2737
_cell_length_b 8.3018
_cell_length_c 8.3018
_cell_angle_alpha 90.91
_cell_angle_beta 119.46
_cell_angle_gamma 119.46
loop_
_space_group_symop_operation_xyz
'x,y,z'
loop_
_atom_site_label
_atom_site_fract_x
_atom_site_fract_y
_atom_site_fract_z
_atom_site_occupancy
Na1 0.5000 0.5000 0.0000 1
Na2 0.5000 0.0000 0.5000 1
Na3 0.5000 0.5000 0.5000 1
Np1 0.5000 0.0000 0.0000 1
Np2 0.0000 0.5000 0.0000 1
Np3 0.0000 0.0000 0.0000 1
Np4 0.0000 0.0000 0.5000 1
Se1 0.4734 0.2270 0.2270 1
Se2 0.0000 0.7587 0.2413 1
Se3 0.9901 0.2438 0.2438 1
Se4 0.5000 0.7563 0.2437 1
Se5 0.5000 0.2437 0.7563 1
Se6 0.0099 0.7562 0.7562 1
Se7 0.0000 0.2413 0.7587 1
Se8 0.5266 0.7730 0.7730 1
# Calculated density, g cm⁻³: 6.734
# N(E_F), states/eV per cell: 42.51
# Calculated total energy, eV per atom: -6.71
# Raw formation energy, meV/atom: -1137

# GGA-PBE NaNp3Se4, relaxed
data_NaNp3Se4
_space_group_name_H-M_alt 'P 1'
_space_group_IT_number 1
_cell_length_a 5.8424
_cell_length_b 5.8424
_cell_length_c 7.1709
_cell_angle_alpha 114.04
_cell_angle_beta 114.04
_cell_angle_gamma 90.00
loop_
_space_group_symop_operation_xyz
'x,y,z'
loop_
_atom_site_label
_atom_site_fract_x
_atom_site_fract_y
_atom_site_fract_z
_atom_site_occupancy
Np1 0.5000 0.5000 0.0000 1
Np2 0.7500 0.2500 0.5000 1
Np3 0.2500 0.7500 0.5000 1
Na1 0.0000 0.0000 0.0000 1
Se1 0.0000 0.5000 0.0000 1
Se2 0.5000 0.0000 0.0000 1
Se3 0.2535 0.2535 0.5069 1
Se4 0.7465 0.7465 0.4931 1
# Calculated density, g cm⁻³: 8.713
# N(E_F), states/eV per cell: 25.89
# Calculated total energy, eV per atom: -7.88
# Raw formation energy, meV/atom: -1120

- Among the records above, which one has the lowest raw formation energy?
  Na3Np4Se8

- Number 6 is which compound?
  NaNp6Se8

- The highest N(E_F) belongs to which entry?
  number 6

- Which value of raw formation energy does entry 2 give?
  -1015 meV/atom